# CuBr2Cl PBE optimized geometry
data_CuBr2Cl
_cell_length_a 6.095
_cell_length_b 6.879
_cell_length_c 14.032
_cell_angle_alpha 103.31
_cell_angle_beta 90.00
_cell_angle_gamma 90.00
_symmetry_space_group_name_H-M 'P 1'
_symmetry_Int_Tables_number 1
_symmetry_space_group_name_Hall 'P 1'
loop_
_atom_site_label
_atom_site_type_symbol
_atom_site_fract_x
_atom_site_fract_y
_atom_site_fract_z
Br1 Br 0.341 0.484 0.560
Cu1 Cu 0.428 0.738 0.067
Br2 Br 0.659 0.516 0.440
Br3 Br 0.192 0.018 0.421
Cu2 Cu 0.072 0.238 0.567
Cu3 Cu 0.572 0.262 0.933
Br4 Br 0.692 0.482 0.079
Cl1 Cl 0.029 0.551 0.304
Cl2 Cl 0.971 0.449 0.696
Cl3 Cl 0.471 0.051 0.804
Cu4 Cu 0.928 0.762 0.433
Br5 Br 0.808 0.982 0.579
Br6 Br 0.308 0.518 0.921
Br7 Br 0.159 0.984 0.060
Cl4 Cl 0.529 0.949 0.196
Br8 Br 0.841 0.016 0.940
# - Polymorph energy (0 for the lowest one): 0 meV per atom
# - Formation energy from raw total energies: -0.24 eV per atom
# - Raw total energy: -10.24 eV/f.u.
# - Magnetization: 0.00 μB/cell
# - SG: P2_1/c (14)